Computed, not measured: a geometry-optimized Ce2UReC4 structure at the PBE level of DFT.

Properties
* magnetization: 0.303 μB/atom
* SG: No. 63
* DFT total energy: -143.28 eV/cell

a b c (Å): 6.161 6.161 12.614
angles (deg): 90.00 90.00 148.09
Fractional positions:
Ce1 0.136 0.864 0.538
Ce2 0.136 0.864 0.962
Ce3 0.864 0.136 0.038
Ce4 0.864 0.136 0.462
U1 0.395 0.605 0.750
U2 0.605 0.395 0.250
Re1 0.342 0.658 0.250
Re2 0.658 0.342 0.750
C1 0.055 0.945 0.750
C2 0.225 0.775 0.141
C3 0.225 0.775 0.359
C4 0.500 0.500 0.000
C5 0.500 0.500 0.500
C6 0.775 0.225 0.641
C7 0.775 0.225 0.859
C8 0.945 0.055 0.250

Computed, not measured: a geometry-optimized TaMn2Cl structure at the PBE level of DFT.

Properties
* magnetization: 0.662 μB/atom
* distance to the lowest polymorph of the same formula: 95 meV per atom
* SG: No. 99
* DFT total energy: -31.54 eV/cell
* uncorrected formation energy: 0.126 eV per atom

a b c (Å): 2.882 2.882 8.553
angles (deg): 90.00 90.00 90.00
Fractional positions:
Ta1 0.000 0.000 0.000
Mn1 0.000 0.000 0.622
Mn2 0.500 0.500 0.781
Cl1 0.500 0.500 0.203

Computed, not measured: a geometry-optimized PmNpBeO6 structure at the PBE level of DFT.

Properties
* magnetization: 0.000 μB/atom
* SG: No. 149
* DFT total energy: -75.26 eV/cell
* uncorrected formation energy: -2.677 eV per atom

a b c (Å): 5.104 5.104 5.167
angles (deg): 90.00 90.00 120.00
Fractional positions:
Pm1 0.000 0.000 0.000
Np1 0.333 0.667 0.500
Be1 0.667 0.333 0.500
O1 0.372 0.018 0.711
O2 0.372 0.354 0.289
O3 0.646 0.018 0.289
O4 0.646 0.628 0.711
O5 0.982 0.354 0.711
O6 0.982 0.628 0.289

Computed, not measured: a geometry-optimized Te2IrRh structure at the PBE level of DFT.

Properties
* magnetization: 0.000 μB/atom
* distance to the lowest polymorph of the same formula: 39 meV per atom
* SG: No. 6
* DFT total energy: -22.66 eV/cell
* uncorrected formation energy: -0.041 eV per atom

a b c (Å): 4.315 4.941 4.411
angles (deg): 90.00 108.65 90.00
Fractional positions:
Te1 0.000 0.000 0.000
Te2 0.477 0.500 0.524
Ir1 0.844 0.500 0.152
Rh1 0.630 0.000 0.375

Computed, not measured: a geometry-optimized Ni2AsOs structure at the PBE level of DFT.

Properties
* magnetization: 0.000 μB/atom
* SG: No. 122
* DFT total energy: -51.00 eV/cell

a b c (Å): 9.056 9.056 9.056
angles (deg): 157.15 157.15 32.53
Fractional positions:
Ni1 0.124 0.625 0.999
Ni2 0.375 0.374 0.499
Ni3 0.626 0.125 0.001
Ni4 0.875 0.876 0.501
As1 0.000 0.000 0.000
As2 0.750 0.250 0.500
Os1 0.250 0.750 0.500
Os2 0.500 0.500 0.000

Computed, not measured: a geometry-optimized Gd2PuCl structure at the PBE level of DFT.

Properties
* magnetization: 2.081 μB/atom
* SG: No. 166
* DFT total energy: -46.75 eV/cell
* uncorrected formation energy: -0.602 eV per atom

a b c (Å): 10.103 10.103 10.103
angles (deg): 20.35 20.35 20.35
Fractional positions:
Gd1 0.242 0.242 0.242
Gd2 0.758 0.758 0.758
Pu1 0.000 0.000 0.000
Cl1 0.500 0.500 0.500

Computed, not measured: a geometry-optimized BaCu2Mo structure at the PBE level of DFT.

Properties
* magnetization: 0.000 μB/atom
* distance to the lowest polymorph of the same formula: 390 meV per atom
* SG: No. 12
* DFT total energy: -17.57 eV/cell

a b c (Å): 5.137 5.137 2.985
angles (deg): 90.22 90.22 105.66
Fractional positions:
Ba1 0.000 0.000 0.000
Cu1 0.000 0.500 0.500
Cu2 0.500 0.000 0.500
Mo1 0.500 0.500 0.000

Computed, not measured: a geometry-optimized YS6Cl2 structure at the PBE level of DFT.

Properties
* magnetization: 0.109 μB/atom
* SG: No. 2
* DFT total energy: -40.79 eV/cell
* uncorrected formation energy: -0.651 eV per atom

a b c (Å): 4.078 8.088 9.117
angles (deg): 113.70 93.22 90.87
Fractional positions:
Y1 0.000 0.000 0.000
S1 0.102 0.723 0.455
S2 0.109 0.494 0.718
S3 0.117 0.284 0.298
S4 0.883 0.716 0.702
S5 0.891 0.506 0.282
S6 0.898 0.277 0.545
Cl1 0.497 0.147 0.901
Cl2 0.503 0.853 0.099

Computed, not measured: a geometry-optimized CaHg2 structure at the PBE level of DFT.

Properties
* magnetization: 0.000 μB/atom
* SG: No. 12
* DFT total energy: -7.69 eV/cell

a b c (Å): 7.124 7.124 6.468
angles (deg): 116.37 116.37 34.21
Fractional positions:
Ca1 0.169 0.169 0.168
Ca2 0.831 0.831 0.832
Hg1 0.140 0.140 0.638
Hg2 0.499 0.499 0.242
Hg3 0.501 0.501 0.758
Hg4 0.860 0.860 0.362

Computed, not measured: a geometry-optimized ErUCrC3 structure at the PBE level of DFT.

Properties
* magnetization: 0.000 μB/atom
* SG: No. 12
* DFT total energy: -108.18 eV/cell

a b c (Å): 6.768 6.768 6.687
angles (deg): 104.59 104.59 32.27
Fractional positions:
Er1 0.146 0.146 0.075
Er2 0.854 0.854 0.925
U1 0.147 0.147 0.575
U2 0.853 0.853 0.425
Cr1 0.498 0.498 0.239
Cr2 0.502 0.502 0.761
C1 0.004 0.004 0.264
C2 0.333 0.333 0.641
C3 0.343 0.343 0.195
C4 0.657 0.657 0.805
C5 0.667 0.667 0.359
C6 0.996 0.996 0.736

Computed, not measured: a geometry-optimized RhW4Br structure at the PBE level of DFT.

Properties
* magnetization: 0.000 μB/atom
* SG: No. 216
* DFT total energy: -54.46 eV/cell
* uncorrected formation energy: 1.062 eV per atom

a b c (Å): 5.316 5.316 5.316
angles (deg): 60.00 60.00 60.00
Fractional positions:
Rh1 0.000 0.000 0.000
W1 0.124 0.625 0.625
W2 0.625 0.124 0.625
W3 0.625 0.625 0.124
W4 0.625 0.625 0.625
Br1 0.250 0.250 0.250

Computed, not measured: a geometry-optimized TaTc2As structure at the PBE level of DFT.

Properties
* magnetization: 0.000 μB/atom
* SG: No. 47
* DFT total energy: -37.02 eV/cell

a b c (Å): 3.136 4.246 4.682
angles (deg): 90.00 90.00 90.00
Fractional positions:
Ta1 0.000 0.000 0.000
Tc1 0.000 0.500 0.500
Tc2 0.500 0.500 0.000
As1 0.500 0.000 0.500

Q: DFT total energy of number 3 (PmNpBeO6)?
A: -75.26 eV/cell